Entry from the Alexandria database: CaMn2Pt after structural relaxation (PBE).

Lattice parameters (Å, degrees): 2.747 4.239 5.893 90.00 90.00 90.00
Fractional coordinates of all 4 atoms:
Ca  0.000  0.000  0.000
Mn  0.500  0.500  0.339
Mn  0.500  0.500  0.661
Pt  0.000  0.000  0.500

Summary:
energy of formation from the pure elements	0.34	eV/atom
total magnetization	0.001	μB per atom
space-group type	Pmmm (47)